(1)
! GGA-PBE SrPtCl6, relaxed; values from VASP
&SYSTEM
  ibrav = 0, nat = 16, ntyp = 3
/
ATOMIC_SPECIES
Cl 35.45 Cl.upf
Pt 195.08 Pt.upf
Sr 87.62 Sr.upf
CELL_PARAMETERS angstrom
-2.518 -4.431 -4.221
4.628 -4.708 -0.461
-4.351 -5.174 7.888
ATOMIC_POSITIONS crystal
Cl 0.870 0.451 0.296
Cl 0.201 0.151 0.499
Cl 0.731 0.384 0.601
Cl 0.799 0.849 0.501
Cl 0.384 0.731 0.101
Cl 0.616 0.269 0.899
Cl 0.151 0.201 0.999
Cl 0.130 0.549 0.704
Cl 0.451 0.870 0.796
Cl 0.549 0.130 0.204
Cl 0.269 0.616 0.399
Cl 0.849 0.799 0.001
Pt 0.000 0.500 0.500
Pt 0.500 0.000 0.000
Sr 0.983 0.017 0.750
Sr 0.017 0.983 0.250
! density of states at the Fermi level: 0.000 states/eV per atom
! relative energy among the computed polymorphs: 0.00 eV/f.u.
! formation energy (no corrections): -1.215 eV/atom


(2)
! GGA-PBE Mg3GeIr, relaxed; values from VASP
&SYSTEM
  ibrav = 0, nat = 5, ntyp = 3
/
ATOMIC_SPECIES
Ir 192.22 Ir.upf
Mg 24.30 Mg.upf
Ge 72.64 Ge.upf
CELL_PARAMETERS angstrom
4.858 0.000 0.000
0.000 4.858 0.000
0.000 0.000 4.858
ATOMIC_POSITIONS crystal
Ir 0.500 0.500 0.500
Mg 0.500 0.000 0.000
Mg 0.000 0.500 0.000
Mg 0.000 0.000 0.500
Ge 0.000 0.000 0.000
! density of states at the Fermi level: 0.979 states/eV per atom
! relative energy among the computed polymorphs: 4.37 eV/f.u.
! ΔE_f: 310 kJ/mol of formula units


(3)
! GGA-PBE DyFe3I12, relaxed; values from VASP
&SYSTEM
  ibrav = 0, nat = 32, ntyp = 3
/
ATOMIC_SPECIES
I 126.90 I.upf
Fe 55.84 Fe.upf
Dy 162.50 Dy.upf
CELL_PARAMETERS angstrom
-2.890 6.140 -4.410
-3.896 -9.819 -11.117
-9.990 3.311 11.154
ATOMIC_POSITIONS crystal
I 0.250 0.790 0.034
I 0.986 0.761 0.245
I 0.250 0.244 0.210
I 0.014 0.239 0.755
I 0.750 0.756 0.790
I 0.514 0.761 0.245
I 0.486 0.516 0.761
I 0.014 0.516 0.761
I 0.486 0.245 0.484
I 0.750 0.493 0.509
I 0.750 0.491 0.984
I 0.250 0.984 0.493
I 0.250 0.966 0.756
I 0.514 0.755 0.516
I 0.514 0.484 0.239
I 0.250 0.507 0.491
I 0.986 0.484 0.239
I 0.486 0.239 0.755
I 0.750 0.210 0.966
I 0.750 0.034 0.244
I 0.250 0.509 0.016
I 0.986 0.755 0.516
I 0.750 0.016 0.507
I 0.014 0.245 0.484
Fe 0.750 0.304 0.872
Fe 0.250 0.872 0.568
Fe 0.750 0.568 0.696
Fe 0.250 0.432 0.304
Fe 0.250 0.696 0.128
Fe 0.750 0.128 0.432
Dy 0.750 0.667 0.333
Dy 0.250 0.333 0.667
! formation energy (no corrections): -0.392 eV/atom


(4)
! GGA-PBE Pr2TmTl3, relaxed; values from VASP
&SYSTEM
  ibrav = 0, nat = 6, ntyp = 3
/
ATOMIC_SPECIES
Pr 140.91 Pr.upf
Tl 204.38 Tl.upf
Tm 168.93 Tm.upf
CELL_PARAMETERS angstrom
3.742 0.000 0.000
0.000 6.463 0.000
-1.871 -3.231 7.961
ATOMIC_POSITIONS crystal
Pr 0.670 0.170 0.340
Pr 0.330 0.830 0.660
Tl 0.341 0.341 0.683
Tl 0.000 0.000 0.000
Tl 0.659 0.659 0.317
Tm 0.000 0.500 0.000
! density of states at the Fermi level: 1.449 states/eV per atom
! relative energy among the computed polymorphs: 1.21 eV/f.u.
! ΔE_f: -97 kJ/mol of formula units


Number 1: uncorrected energy -57.05 eV/cell. Number 2: uncorrected energy -15.05 eV/cell. Number 3: uncorrected energy -109.74 eV/cell. Number 4: uncorrected energy -22.13 eV/cell.